1.
First-principles (GGA-PBE) data for a relaxed Pm7NdIr2 crystal, as listed in the Alexandria database.

The structure in CIF format:
```
data_Pm7NdIr2
_chemical_formula_sum 'Pm14 Nd2 Ir4'
_space_group_name_H-M_alt 'C m m m'
_space_group_IT_number 65
_space_group_name_Hall '-C 2 2'
_cell_length_a 8.881
_cell_length_b 14.455
_cell_length_c 5.537
_cell_angle_alpha 90.00
_cell_angle_beta 90.00
_cell_angle_gamma 90.00
loop_
_atom_site_label
_atom_site_type_symbol
_atom_site_fract_x
_atom_site_fract_y
_atom_site_fract_z
_atom_site_occupancy
Pm1 Pm 0.000 0.000 0.000 1
Pm2 Pm 0.000 0.206 0.500 1
Pm3 Pm 0.193 0.368 0.000 1
Nd1 Nd 0.000 0.500 0.500 1
Ir1 Ir 0.000 0.204 0.000 1
```

Calculated values
Total magnetization, μB per formula unit: 0.002
Energy relative to the elements, meV/atom: -135



2.
First-principles (GGA-PBE) data for a relaxed PmNd8Ir6 crystal, as listed in the Alexandria database.

The structure in CIF format:
```
data_PmNd8Ir6
_chemical_formula_sum 'Pm3 Nd24 Ir18'
_space_group_name_H-M_alt 'R -3'
_space_group_IT_number 148
_space_group_name_Hall '-R 3'
_cell_length_a 8.5232
_cell_length_b 8.5232
_cell_length_c 18.7006
_cell_angle_alpha 90.00
_cell_angle_beta 90.00
_cell_angle_gamma 120.00
loop_
_atom_site_label
_atom_site_type_symbol
_atom_site_fract_x
_atom_site_fract_y
_atom_site_fract_z
_atom_site_occupancy
Pm1 Pm 0.0000 0.0000 0.0000 1
Nd1 Nd 0.0000 0.0000 0.3329 1
Nd2 Nd 0.0013 0.3339 0.5547 1
Ir1 Ir 0.9998 0.3326 0.0576 1
```

Calculated values
Total magnetization, μB per formula unit: 0.000
Energy relative to the elements, meV/atom: -589



3.
First-principles (GGA-PBE) data for a relaxed PmNd4Ir2 crystal, as listed in the Alexandria database.

The structure in CIF format:
```
data_PmNd4Ir2
_chemical_formula_sum 'Pm2 Nd8 Ir4'
_space_group_name_H-M_alt 'P 1 21/m 1'
_space_group_IT_number 11
_cell_length_a 8.017
_cell_length_b 6.639
_cell_length_c 8.142
_cell_angle_alpha 90.00
_cell_angle_beta 113.32
_cell_angle_gamma 90.00
loop_
_space_group_symop_operation_xyz
'x,y,z'
'-x,-y,-z'
'-x,y+1/2,-z'
'x,-y+1/2,z'
loop_
_atom_site_label
_atom_site_type_symbol
_atom_site_fract_x
_atom_site_fract_y
_atom_site_fract_z
_atom_site_occupancy
Pm1 Pm 0.151 0.250 0.029 1
Nd1 Nd 0.013 0.250 0.378 1
Nd2 Nd 0.250 0.750 0.339 1
Nd3 Nd 0.414 0.005 0.763 1
Ir1 Ir 0.249 0.750 0.990 1
Ir2 Ir 0.369 0.250 0.403 1
```

Calculated values
Total magnetization, μB per formula unit: 0.000
Energy relative to the elements, meV/atom: -383
E above lowest polymorph, meV/atom: 0



4.
First-principles (GGA-PBE) data for a relaxed Pm2NdIr crystal, as listed in the Alexandria database.

The structure in CIF format:
```
data_Pm2NdIr
_chemical_formula_sum 'Pm8 Nd4 Ir4'
_space_group_name_H-M_alt 'P n n a'
_space_group_IT_number 52
_cell_length_a 6.924
_cell_length_b 6.485
_cell_length_c 11.758
_cell_angle_alpha 90.00
_cell_angle_beta 90.00
_cell_angle_gamma 90.00
loop_
_space_group_symop_operation_xyz
'x,y,z'
'-x,-y,-z'
'-x+1/2,-y,z'
'x+1/2,y,-z'
'x,-y+1/2,-z+1/2'
'-x,y+1/2,z+1/2'
'-x+1/2,y+1/2,-z+1/2'
'x+1/2,-y+1/2,z+1/2'
loop_
_atom_site_label
_atom_site_type_symbol
_atom_site_fract_x
_atom_site_fract_y
_atom_site_fract_z
_atom_site_occupancy
Pm1 Pm 0.086 0.249 0.083 1
Nd1 Nd 0.062 0.250 0.750 1
Ir1 Ir 0.250 0.000 0.912 1
```

Calculated values
Total magnetization, μB per formula unit: 0.000
Energy relative to the elements, meV/atom: -370
E above lowest polymorph, meV/atom: 95



5.
First-principles (GGA-PBE) data for a relaxed PmNd4Ir4 crystal, as listed in the Alexandria database.

The structure in CIF format:
```
data_PmNd4Ir4
_chemical_formula_sum 'Pm2 Nd8 Ir8'
_space_group_name_H-M_alt 'P 42/n'
_space_group_IT_number 86
_cell_length_a 9.074
_cell_length_b 9.074
_cell_length_c 5.838
_cell_angle_alpha 90.00
_cell_angle_beta 90.00
_cell_angle_gamma 90.00
loop_
_space_group_symop_operation_xyz
'x,y,z'
'-x,-y,-z'
'-y,x+1/2,z+1/2'
'y,-x+1/2,-z+1/2'
'-x+1/2,-y+1/2,z'
'x+1/2,y+1/2,-z'
'y+1/2,-x,z+1/2'
'-y+1/2,x,-z+1/2'
loop_
_atom_site_label
_atom_site_type_symbol
_atom_site_fract_x
_atom_site_fract_y
_atom_site_fract_z
_atom_site_occupancy
Pm1 Pm 0.250 0.250 0.250 1
Nd1 Nd 0.071 0.665 0.133 1
Ir1 Ir 0.025 0.620 0.630 1
```

Calculated values
Total magnetization, μB per formula unit: 0.000
Energy relative to the elements, meV/atom: -519



6.
First-principles (GGA-PBE) data for a relaxed Pm2Nd3Ir3 crystal, as listed in the Alexandria database.

The structure in CIF format:
```
data_Pm2Nd3Ir3
_chemical_formula_sum 'Pm8 Nd12 Ir12'
_space_group_name_H-M_alt 'C 1 m 1'
_space_group_IT_number 8
_cell_length_a 13.030
_cell_length_b 5.705
_cell_length_c 13.955
_cell_angle_alpha 90.00
_cell_angle_beta 90.29
_cell_angle_gamma 90.00
loop_
_space_group_symop_operation_xyz
'x,y,z'
'x,-y,z'
'x+1/2,y+1/2,z'
'x+1/2,-y+1/2,z'
loop_
_atom_site_label
_atom_site_type_symbol
_atom_site_fract_x
_atom_site_fract_y
_atom_site_fract_z
_atom_site_occupancy
Pm1 Pm 0.000 0.000 0.000 1
Pm2 Pm 0.002 0.000 0.366 1
Pm3 Pm 0.115 0.500 0.817 1
Pm4 Pm 0.342 0.000 0.500 1
Nd1 Nd 0.119 0.500 0.551 1
Nd2 Nd 0.224 0.500 0.050 1
Nd3 Nd 0.226 0.500 0.316 1
Nd4 Nd 0.338 0.000 0.865 1
Nd5 Nd 0.419 0.000 0.184 1
Nd6 Nd 0.424 0.500 0.684 1
Ir1 Ir 0.017 0.500 0.994 1
Ir2 Ir 0.019 0.500 0.373 1
Ir3 Ir 0.322 0.500 0.872 1
Ir4 Ir 0.326 0.500 0.494 1
Ir5 Ir 0.389 0.500 0.183 1
Ir6 Ir 0.455 0.000 0.683 1
```

Calculated values
Total magnetization, μB per formula unit: 0.000
Energy relative to the elements, meV/atom: -467



7.
First-principles (GGA-PBE) data for a relaxed PmNd2Ir2 crystal, as listed in the Alexandria database.

The structure in CIF format:
```
data_PmNd2Ir2
_chemical_formula_sum 'Pm4 Nd8 Ir8'
_space_group_name_H-M_alt 'C m c 21'
_space_group_IT_number 36
_cell_length_a 4.088
_cell_length_b 17.421
_cell_length_c 7.515
_cell_angle_alpha 90.00
_cell_angle_beta 90.00
_cell_angle_gamma 90.00
loop_
_space_group_symop_operation_xyz
'x,y,z'
'-x,-y,z+1/2'
'-x,y,z'
'x,-y,z+1/2'
'x+1/2,y+1/2,z'
'-x+1/2,-y+1/2,z+1/2'
'-x+1/2,y+1/2,z'
'x+1/2,-y+1/2,z+1/2'
loop_
_atom_site_label
_atom_site_type_symbol
_atom_site_fract_x
_atom_site_fract_y
_atom_site_fract_z
_atom_site_occupancy
Pm1 Pm 0.000 0.120 0.000 1
Nd1 Nd 0.000 0.310 0.889 1
Nd2 Nd 0.000 0.468 0.166 1
Ir1 Ir 0.000 0.052 0.365 1
Ir2 Ir 0.000 0.307 0.297 1
```

Calculated values
Total magnetization, μB per formula unit: 0.000
Energy relative to the elements, meV/atom: -483



8.
First-principles (GGA-PBE) data for a relaxed Pm12NdIr7 crystal, as listed in the Alexandria database.

The structure in CIF format:
```
data_Pm12NdIr7
_chemical_formula_sum 'Pm36 Nd3 Ir21'
_space_group_name_H-M_alt 'R -3'
_space_group_IT_number 148
_space_group_name_Hall '-R 3'
_cell_length_a 14.6608
_cell_length_b 14.6608
_cell_length_c 10.0957
_cell_angle_alpha 90.00
_cell_angle_beta 90.00
_cell_angle_gamma 120.00
loop_
_atom_site_label
_atom_site_type_symbol
_atom_site_fract_x
_atom_site_fract_y
_atom_site_fract_z
_atom_site_occupancy
Pm1 Pm 0.0305 0.4444 0.1603 1
Pm2 Pm 0.0440 0.8740 0.8304 1
Nd1 Nd 0.0000 0.0000 0.5000 1
Ir1 Ir 0.0000 0.0000 0.0000 1
Ir2 Ir 0.0463 0.8619 0.3277 1
```

Calculated values
Total magnetization, μB per formula unit: 0.000
Energy relative to the elements, meV/atom: -488



9.
First-principles (GGA-PBE) data for a relaxed Pm3NdIr crystal, as listed in the Alexandria database.

The structure in CIF format:
```
data_Pm3NdIr
_chemical_formula_sum 'Pm6 Nd2 Ir2'
_space_group_name_H-M_alt 'P 1 21/m 1'
_space_group_IT_number 11
_cell_length_a 4.976
_cell_length_b 10.044
_cell_length_c 6.742
_cell_angle_alpha 90.00
_cell_angle_beta 111.57
_cell_angle_gamma 90.00
loop_
_space_group_symop_operation_xyz
'x,y,z'
'-x,-y,-z'
'-x,y+1/2,-z'
'x,-y+1/2,z'
loop_
_atom_site_label
_atom_site_type_symbol
_atom_site_fract_x
_atom_site_fract_y
_atom_site_fract_z
_atom_site_occupancy
Pm1 Pm 0.134 0.000 0.267 1
Pm2 Pm 0.366 0.250 0.732 1
Nd1 Nd 0.363 0.750 0.726 1
Ir1 Ir 0.001 0.750 0.002 1
```

Calculated values
Total magnetization, μB per formula unit: 0.000
Energy relative to the elements, meV/atom: -259
E above lowest polymorph, meV/atom: 0



10.
First-principles (GGA-PBE) data for a relaxed PmNdIr2 crystal, as listed in the Alexandria database.

The structure in CIF format:
```
data_PmNdIr2
_chemical_formula_sum 'Pm1 Nd1 Ir2'
_space_group_name_H-M_alt 'P 4/m m m'
_space_group_IT_number 123
_space_group_name_Hall '-P 4 2'
_cell_length_a 4.908
_cell_length_b 4.908
_cell_length_c 3.663
_cell_angle_alpha 90.00
_cell_angle_beta 90.00
_cell_angle_gamma 90.00
loop_
_atom_site_label
_atom_site_type_symbol
_atom_site_fract_x
_atom_site_fract_y
_atom_site_fract_z
_atom_site_occupancy
Pm1 Pm 0.000 0.000 0.000 1
Nd1 Nd 0.500 0.500 0.000 1
Ir1 Ir 0.000 0.500 0.500 1
```

Calculated values
Total magnetization, μB per formula unit: 0.000
Energy relative to the elements, meV/atom: -569
E above lowest polymorph, meV/atom: 65